Entry 1:
This record from Alexandria via LeMat-Bulk describes crystalline Pm6DyHo12 at its relaxed geometry. The functional is PBE.

Geometry as POSCAR:
```
Pm6DyHo12
1.0
-3.5730 -7.6241 -1.4956
1.1397 -1.9058 8.2582
-7.6285 3.5032 1.6320
Pm Ho Dy
6 12 1
Direct
0.7400 0.2756 0.1293
0.2756 0.1293 0.7400
0.7244 0.8707 0.2600
0.8707 0.2600 0.7244
0.2600 0.7244 0.8707
0.1293 0.7400 0.2756
0.5348 0.2099 0.4724
0.9388 0.8552 0.6237
0.0612 0.1448 0.3763
0.2099 0.4724 0.5348
0.4724 0.5348 0.2099
0.3763 0.0612 0.1448
0.1448 0.3763 0.0612
0.8552 0.6237 0.9388
0.4652 0.7901 0.5276
0.7901 0.5276 0.4652
0.5276 0.4652 0.7901
0.6237 0.9388 0.8552
0.0000 0.0000 0.0000
```

Summary:
As for the symmetry: R-3 (148). As for the total energy: -4.46 eV per atom.



Entry 2:
This record from Alexandria via LeMat-Bulk describes crystalline Pm2Dy9Ho at its relaxed geometry. The functional is PBE.

Geometry as POSCAR:
```
Pm2Dy9Ho
1.0
-1.5669 4.7715 0.3204
-4.6752 -1.5994 0.9539
3.0169 -0.0020 14.7832
Dy Pm Ho
9 2 1
Direct
0.5000 0.0000 0.8352
0.5000 0.5000 0.6678
0.0000 0.5000 0.1648
0.0000 0.5000 0.5000
0.5000 0.0000 0.5000
0.5000 0.5000 0.0000
0.5000 0.0000 0.1648
0.0000 0.5000 0.8352
0.5000 0.5000 0.3322
0.0000 0.0000 0.3326
0.0000 0.0000 0.6674
0.0000 0.0000 0.0000
```

Summary:
As for the symmetry: P4/mmm (123). As for the total energy: -4.60 eV per atom.



Entry 3:
This record from Alexandria via LeMat-Bulk describes crystalline Pm2DyHo7 at its relaxed geometry. The functional is PBE.

Geometry as POSCAR:
```
Pm2DyHo7
1.0
-2.9403 4.3364 -0.5777
-5.5442 -3.0721 5.1450
7.0445 5.3499 4.3087
Ho Pm Dy
7 2 1
Direct
0.5000 0.9064 0.1963
0.5000 0.5000 0.0000
0.0000 0.4039 0.8078
0.5000 0.2900 0.1963
0.0000 0.5961 0.1922
0.5000 0.0936 0.8037
0.5000 0.7100 0.8037
0.5000 0.7352 0.4703
0.5000 0.2648 0.5297
0.0000 0.0000 0.0000
```

Summary:
As for the symmetry: Cmmm (65). As for the total energy: -3.98 eV per atom.



Entry 4:
This record from Alexandria via LeMat-Bulk describes crystalline Pm2Dy5Ho3 at its relaxed geometry. The functional is PBE.

Geometry as POSCAR:
```
Pm2Dy5Ho3
1.0
8.4222 1.6217 -3.9419
0.3319 8.4871 -4.0024
-1.7791 -1.9327 10.8073
Dy Ho Pm
10 6 4
Direct
0.6503 0.8951 0.2597
0.9718 0.2218 0.4437
0.7313 0.4813 0.9627
0.3497 0.1049 0.7403
0.1094 0.3646 0.2597
0.8906 0.6354 0.7403
0.2687 0.5187 0.0373
0.4781 0.7281 0.4563
0.0282 0.7782 0.5563
0.5219 0.2719 0.5437
0.9626 0.2310 0.7423
0.2797 0.5113 0.7423
0.2251 0.9751 0.9501
0.7749 0.0249 0.0499
0.0374 0.7690 0.2577
0.7203 0.4887 0.2577
0.5121 0.2782 0.2443
0.7678 0.0339 0.7557
0.4879 0.7218 0.7557
0.2322 0.9661 0.2443
```

Summary:
As for the symmetry: C2/c (15). As for the total energy: -4.43 eV per atom.



Per-record calculated volume, Å³/cell: 624.7 382.1 385.2 656.1